Below is crystalline Nd2Sm2Y2Mg at its relaxed geometry, with properties calculated at the PBE-GGA level.

The space group is C2/m (No. 12) and the conventional cell measures 11.8710, 3.5931 and 11.8086 Å, with angles of 90.00, 113.57 and 90.00 degrees. The inequivalent atoms are Nd at (0.0447, 0.0000, 0.2582), Sm at (0.2385, 0.5000, 0.8635), Y at (0.1705, 0.0000, 0.5837) and Mg at (0.0000, 0.5000, 0.0000).

For the total magnetic moment, the calculation gives 0.0 μB/f.u. Its formation energy is 84 meV/atom. The value obtained for the volume is 33.0 Å³ per atom.

Below is crystalline ZrScAlIn at its relaxed geometry, with properties calculated at the PBE-GGA level.

The space group is P4mm (No. 99) and the conventional cell measures 3.0727, 3.0727 and 8.8098 Å, with angles of 90.00, 90.00 and 90.00 degrees. The inequivalent atoms are Zr at (0.0000, 0.0000, 0.0000), Sc at (0.0000, 0.0000, 0.5399), Al at (0.5000, 0.5000, 0.7703) and In at (0.5000, 0.5000, 0.2708).

For the total magnetic moment, the calculation gives 0.3 μB/f.u. The offset from the most stable computed form comes out at 0 meV/atom. Its formation energy is -415 meV/atom. The value obtained for the volume is 20.8 Å³ per atom.

Below is crystalline KBa3Li at its relaxed geometry, with properties calculated at the PBE-GGA level.

The space group is Pm-3m (No. 221) and the conventional cell measures 7.1017, 7.1017 and 7.1017 Å, with angles of 90.00, 90.00 and 90.00 degrees. The inequivalent atoms are K at (0.0000, 0.0000, 0.0000), Ba at (0.0000, 0.0000, 0.5000) and Li at (0.5000, 0.5000, 0.5000).

For the total magnetic moment, the calculation gives 1.5 μB/f.u. The offset from the most stable computed form comes out at 473 meV/atom. Its formation energy is 643 meV/atom. The value obtained for the volume is 71.6 Å³ per atom.

Below is crystalline HoGa2Ni at its relaxed geometry, with properties calculated at the PBE-GGA level.

The space group is Pnma (No. 62) and the conventional cell measures 7.7705, 6.6755 and 5.3444 Å, with angles of 90.00, 90.00 and 90.00 degrees. The inequivalent atoms are Ho at (0.0386, 0.2500, 0.1190), Ga at (0.1831, 0.0542, 0.6169) and Ni at (0.0961, 0.7500, 0.3730).

For the total magnetic moment, the calculation gives 0.0 μB/f.u. Its formation energy is -603 meV/atom. The value obtained for the volume is 17.3 Å³ per atom.

Below is crystalline Tb8Tm3Th2 at its relaxed geometry, with properties calculated at the PBE-GGA level.

The space group is Cmmm (No. 65) and the conventional cell measures 7.3652, 20.7006 and 5.6320 Å, with angles of 90.00, 90.00 and 90.00 degrees. The inequivalent atoms are Tb at (0.0000, 0.1378, 0.0000), Tb at (0.0000, 0.3333, 0.0000), Tb at (0.2159, 0.3926, 0.5000), Tm at (0.0000, 0.0000, 0.5000), Tm at (0.2265, 0.5000, 0.0000) and Th at (0.0000, 0.2448, 0.5000).

For the total magnetic moment, the calculation gives 0.0 μB/f.u. The offset from the most stable computed form comes out at 116 meV/atom. Its formation energy is 270 meV/atom. The value obtained for the volume is 33.0 Å³ per atom.

Below is crystalline Tm2ZrCo2 at its relaxed geometry, with properties calculated at the PBE-GGA level.

The space group is C2/c (No. 15) and the conventional cell measures 9.9728, 5.7573 and 7.1445 Å, with angles of 90.00, 101.49 and 90.00 degrees. The inequivalent atoms are Tm at (0.1502, 0.1181, 0.1490), Zr at (0.0000, 0.4042, 0.7500) and Co at (0.1501, 0.3439, 0.5017).

For the total magnetic moment, the calculation gives 0.0 μB/f.u. Its formation energy is -277 meV/atom. The value obtained for the volume is 20.1 Å³ per atom.

Below is crystalline Na2Br2O5 at its relaxed geometry, with properties calculated at the PBE-GGA level.

The space group is C2/m (No. 12) and the conventional cell measures 12.2917, 4.0886 and 5.6579 Å, with angles of 90.00, 110.70 and 90.00 degrees. The inequivalent atoms are Na at (0.1067, 0.0000, 0.2990), Br at (0.1253, 0.5000, 0.8386), O at (0.0000, 0.5000, 0.0000), O at (0.1202, 0.0000, 0.8712) and O at (0.1523, 0.5000, 0.5576).

As for the total energy: -66.839 eV per cell. For the total magnetic moment, the calculation gives 0.0 μB/f.u. The value obtained for the volume is 14.8 Å³ per atom.

Below is crystalline Ac2Si3SnPd4 at its relaxed geometry, with properties calculated at the PBE-GGA level.

The space group is P-4m2 (No. 115) and the conventional cell measures 4.4357, 4.4357 and 10.4812 Å, with angles of 90.00, 90.00 and 90.00 degrees. The inequivalent atoms are Ac at (0.0000, 0.5000, 0.2415), Si at (0.0000, 0.5000, 0.8824), Si at (0.5000, 0.5000, 0.5000), Sn at (0.0000, 0.0000, 0.5000), Pd at (0.0000, 0.0000, 0.0000), Pd at (0.0000, 0.5000, 0.6450) and Pd at (0.5000, 0.5000, 0.0000).

As for the total energy: -57.428 eV per cell. For the total magnetic moment, the calculation gives 0.0 μB/f.u. The value obtained for the volume is 20.6 Å³ per atom.